No. 1
BiSeI2: optimized geometry, PBE.

```
data_BiSeI2
_chemical_formula_sum 'Bi2 Se2 I4'
_space_group_name_H-M_alt 'P 1'
_space_group_IT_number 1
_cell_length_a 11.232
_cell_length_b 11.232
_cell_length_c 8.436
_cell_angle_alpha 48.27
_cell_angle_beta 48.27
_cell_angle_gamma 90.00
loop_
_space_group_symop_operation_xyz
'x,y,z'
loop_
_atom_site_label
_atom_site_type_symbol
_atom_site_fract_x
_atom_site_fract_y
_atom_site_fract_z
I1 I 0.765 0.125 0.250
I2 I 0.985 0.625 0.250
I3 I 0.375 0.235 0.750
I4 I 0.875 0.015 0.750
Bi1 Bi 0.000 0.000 0.000
Bi2 Bi 0.750 0.250 0.500
Se1 Se 0.500 0.500 0.000
Se2 Se 0.250 0.750 0.500
```

Computed properties:
E above lowest polymorph   0 meV/atom
Density of states at the Fermi level   0.600 states/eV/atom
E_form (uncorrected)   0.01 eV/atom
SG   I-42d, No. 122

No. 2
TcSbRu3: optimized geometry, PBE.

```
data_TcSbRu3
_chemical_formula_sum 'Tc1 Sb1 Ru3'
_space_group_name_H-M_alt 'P 1'
_space_group_IT_number 1
_cell_length_a 4.658
_cell_length_b 4.658
_cell_length_c 4.658
_cell_angle_alpha 90.00
_cell_angle_beta 90.00
_cell_angle_gamma 90.00
loop_
_space_group_symop_operation_xyz
'x,y,z'
loop_
_atom_site_label
_atom_site_type_symbol
_atom_site_fract_x
_atom_site_fract_y
_atom_site_fract_z
Sb1 Sb 0.500 0.500 0.500
Tc1 Tc 0.000 0.000 0.000
Ru1 Ru 0.000 0.500 0.000
Ru2 Ru 0.000 0.000 0.500
Ru3 Ru 0.500 0.000 0.000
```

Computed properties:
E above lowest polymorph   0 meV/atom
Density of states at the Fermi level   1.439 states/eV/atom
E_form (uncorrected)   1.40 eV/atom
SG   Pm-3m, No. 221

No. 3
AgSCl2: optimized geometry, PBE.

```
data_AgSCl2
_chemical_formula_sum 'Ag1 S1 Cl2'
_space_group_name_H-M_alt 'P 1'
_space_group_IT_number 1
_cell_length_a 7.959
_cell_length_b 7.959
_cell_length_c 7.959
_cell_angle_alpha 28.66
_cell_angle_beta 28.66
_cell_angle_gamma 28.66
loop_
_space_group_symop_operation_xyz
'x,y,z'
loop_
_atom_site_label
_atom_site_type_symbol
_atom_site_fract_x
_atom_site_fract_y
_atom_site_fract_z
S1 S 0.000 0.000 0.000
Ag1 Ag 0.500 0.500 0.500
Cl1 Cl 0.899 0.899 0.899
Cl2 Cl 0.101 0.101 0.101
```

Computed properties:
E above lowest polymorph   291 meV/atom
Density of states at the Fermi level   0.303 states/eV/atom
E_form (uncorrected)   0.06 eV/atom
SG   R-3m, No. 166

No. 4
TiTeMo2Se: optimized geometry, PBE.

```
data_TiTeMo2Se
_chemical_formula_sum 'Ti1 Te1 Mo2 Se1'
_space_group_name_H-M_alt 'P 1'
_space_group_IT_number 1
_cell_length_a 4.591
_cell_length_b 5.469
_cell_length_c 4.591
_cell_angle_alpha 90.00
_cell_angle_beta 90.00
_cell_angle_gamma 90.00
loop_
_space_group_symop_operation_xyz
'x,y,z'
loop_
_atom_site_label
_atom_site_type_symbol
_atom_site_fract_x
_atom_site_fract_y
_atom_site_fract_z
Mo1 Mo 0.000 0.000 0.500
Mo2 Mo 0.500 0.000 0.000
Te1 Te 0.000 0.500 0.000
Se1 Se 0.000 0.000 0.000
Ti1 Ti 0.500 0.500 0.500
```

Computed properties:
Density of states at the Fermi level   1.454 states/eV/atom
E_form (uncorrected)   1.30 eV/atom
SG   P4/mmm, No. 123

No. 5
LaTaW: optimized geometry, PBE.

```
data_LaTaW
_chemical_formula_sum 'La1 Ta1 W1'
_space_group_name_H-M_alt 'P 1'
_space_group_IT_number 1
_cell_length_a 4.740
_cell_length_b 4.740
_cell_length_c 3.231
_cell_angle_alpha 90.00
_cell_angle_beta 90.00
_cell_angle_gamma 120.00
loop_
_space_group_symop_operation_xyz
'x,y,z'
loop_
_atom_site_label
_atom_site_type_symbol
_atom_site_fract_x
_atom_site_fract_y
_atom_site_fract_z
La1 La 0.000 0.000 0.990
Ta1 Ta 0.667 0.333 0.368
W1 W 0.333 0.667 0.642
```

Computed properties:
E above lowest polymorph   227 meV/atom
Formation energy from the elements   653 meV per atom
Density of states at the Fermi level   0.709 states/eV/atom
SG   P3m1, No. 156

No. 6
YAuSe2: optimized geometry, PBE.

```
data_YAuSe2
_chemical_formula_sum 'Y1 Au1 Se2'
_space_group_name_H-M_alt 'P 1'
_space_group_IT_number 1
_cell_length_a 4.294
_cell_length_b 4.294
_cell_length_c 6.594
_cell_angle_alpha 90.00
_cell_angle_beta 90.00
_cell_angle_gamma 120.00
loop_
_space_group_symop_operation_xyz
'x,y,z'
loop_
_atom_site_label
_atom_site_type_symbol
_atom_site_fract_x
_atom_site_fract_y
_atom_site_fract_z
Y1 Y 0.000 0.000 0.011
Au1 Au 0.333 0.667 0.396
Se1 Se 0.333 0.667 0.792
Se2 Se 0.667 0.333 0.256
```

Computed properties:
Density of states at the Fermi level   0.000 states/eV/atom
E_form (uncorrected)   -1.09 eV/atom
SG   P3m1, No. 156

One value per record, in order, for VASP energy: -2.6017; -7.0617; -2.6075; -5.9398; -9.2581; -5.2638 eV per atom.